In3PdC | PBE | optimized geometry

Lattice parameters (Å, degrees): 5.1693 5.1693 5.1693 90.00 90.00 90.00
Closest atoms and distances in Å follow each position.
Space group Pm-3m (No. 221)
One atom of each set of equivalent atoms:
In 0.0000 0.0000 0.5000 [3 per cell]  2 Pd 2.58
Pd 0.0000 0.0000 0.0000 [1 per cell]  6 In 2.58
C 0.5000 0.5000 0.5000 [1 per cell]  12 In 3.66

Calculated values
- density (g/cm³) = 5.6
- calculated total energy (eV/atom) = -3.4086
- formation energy (eV per atom) = 1.118
- calculated volume (A^3/atom) = 27.626
- size of the total moment (μB/cell) = 2.6

---

InPd2C | PBE | optimized geometry

Lattice parameters (Å, degrees): 5.4386 5.4580 5.7979 74.38 88.64 63.00
Closest atoms and distances in Å follow each position.
Space group P1 (No. 1)
One atom of each set of equivalent atoms:
In 0.0000 0.0000 0.0000 [1 per cell]  1 C 2.41
In 0.3692 0.5369 0.4384 [1 per cell]  1 C 2.57, 2 Pd 2.78-2.83
Pd 0.3885 0.9834 0.6628 [1 per cell]  2 C 2.00-2.06
Pd 0.7873 0.5431 0.1064 [1 per cell]  2 C 1.98-2.01
Pd 0.8598 0.4948 0.6201 [1 per cell]  2 C 2.05-2.06
Pd 0.8886 0.0258 0.4839 [1 per cell]  2 C 2.08-2.09
C 0.0851 0.2822 0.3844 [1 per cell]  4 Pd 2.01-2.08
C 0.7890 0.8018 0.7928 [1 per cell]  4 Pd 1.98-2.09

Calculated values
- density (g/cm³) = 7.7
- calculated total energy (eV/atom) = -5.2105
- formation energy (eV per atom) = 0.376
- calculated volume (A^3/atom) = 18.338
- size of the total moment (μB/cell) = 0.0

---

InPd2C | PBE | optimized geometry

Lattice parameters (Å, degrees): 5.6058 5.6058 9.5604 90.00 90.00 90.00
Closest atoms and distances in Å follow each position.
Space group I-42d (No. 122)
One atom of each set of equivalent atoms:
In 0.0000 0.0000 0.0000 [4 per cell]  4 Pd 2.76
Pd 0.1340 0.2500 0.6250 [8 per cell]  2 C 1.99
C 0.0000 0.0000 0.5000 [4 per cell]  4 Pd 1.99

Calculated values
- density (g/cm³) = 7.5
- calculated total energy (eV/atom) = -5.1208
- formation energy (eV per atom) = 0.466
- calculated volume (A^3/atom) = 18.777
- size of the total moment (μB/cell) = 0.0